Below is a geometry-optimized AsPbW2 structure, with properties calculated at the PBE level.

Output
For the energy above the lowest structure with this stoichiometry, the calculation gives 0.30 eV/f.u. The energy of formation is 0.409 eV per atom. The space-group type is R3m (160). For the final energy, the calculation gives -8.157 eV/atom.

Cell lengths 10.146, 10.146, 10.146 Å; angles 17.75, 17.75, 17.75 degrees
Atoms (fractional coordinates):
W: 0.985 0.985 0.985
W: 0.254 0.254 0.254
As: 0.522 0.522 0.522
Pb: 0.739 0.739 0.739

=====

Below is a geometry-optimized AsPbW2 structure, with properties calculated at the PBE level.

Output
For the energy above the lowest structure with this stoichiometry, the calculation gives 1.81 eV/f.u. The energy of formation is 0.787 eV per atom. The space-group type is R-3m (166). For the final energy, the calculation gives -7.779 eV/atom.

Cell lengths 9.157, 9.157, 9.157 Å; angles 19.32, 19.32, 19.32 degrees
Atoms (fractional coordinates):
As: 0.250 0.250 0.250
W: 0.988 0.988 0.988
W: 0.512 0.512 0.512
Pb: 0.750 0.750 0.750

=====

Below is a geometry-optimized AsPbW2 structure, with properties calculated at the PBE level.

Output
For the energy above the lowest structure with this stoichiometry, the calculation gives 0.48 eV/f.u. The energy of formation is 0.454 eV per atom. The space-group type is Cmm2 (35). For the final energy, the calculation gives -8.113 eV/atom.

Cell lengths 2.945, 2.945, 10.124 Å; angles 90.00, 90.00, 109.26 degrees
Atoms (fractional coordinates):
W: 0.000 0.000 0.037
W: 0.500 0.500 0.240
Pb: 0.500 0.500 0.787
As: 0.000 0.000 0.436

=====

Below is a geometry-optimized AsPbW2 structure, with properties calculated at the PBE level.

Output
For the energy above the lowest structure with this stoichiometry, the calculation gives 1.58 eV/f.u. The energy of formation is 0.730 eV per atom. The space-group type is C2/m (12). For the final energy, the calculation gives -7.836 eV/atom.

Cell lengths 4.692, 4.692, 5.766 Å; angles 77.44, 77.44, 40.49 degrees
Atoms (fractional coordinates):
Pb: 0.250 0.250 0.250
W: 0.013 0.013 0.916
As: 0.750 0.750 0.750
W: 0.487 0.487 0.584

=====

Below is a geometry-optimized AsPbW2 structure, with properties calculated at the PBE level.

Output
For the energy above the lowest structure with this stoichiometry, the calculation gives 0.00 eV/f.u. The energy of formation is 0.334 eV per atom. The space-group type is P4mm (99). For the final energy, the calculation gives -8.232 eV/atom.

Cell lengths 3.227, 3.227, 8.019 Å; angles 90.00, 90.00, 90.00 degrees
Atoms (fractional coordinates):
Pb: 0.500 0.500 0.788
W: 0.000 0.000 0.059
W: 0.500 0.500 0.234
As: 0.000 0.000 0.418

=====

Below is a geometry-optimized AsPb4W structure, with properties calculated at the PBE level.

Output
The energy of formation is 1.202 eV per atom. The space-group type is F-43m (216). For the final energy, the calculation gives -4.204 eV/atom.

Cell lengths 6.258, 6.258, 6.258 Å; angles 60.00, 60.00, 60.00 degrees
Each line ends with the local moment (μB).
Atoms (fractional coordinates):
Pb: 0.376 0.376 0.376  -0.04
Pb: 0.376 0.873 0.376  -0.04
Pb: 0.873 0.376 0.376  -0.04
As: 0.000 0.000 0.000  -0.16
Pb: 0.376 0.376 0.873  -0.04
W: 0.750 0.750 0.750  2.55

=====

Below is a geometry-optimized AsPbW2 structure, with properties calculated at the PBE level.

Output
For the energy above the lowest structure with this stoichiometry, the calculation gives 2.99 eV/f.u. The energy of formation is 1.080 eV per atom. The space-group type is C2/m (12). For the final energy, the calculation gives -7.486 eV/atom.

Cell lengths 5.238, 5.351, 3.192 Å; angles 76.23, 82.94, 116.92 degrees
Atoms (fractional coordinates):
Pb: 0.500 0.500 0.000
As: 0.000 0.500 0.500
W: 0.000 0.000 0.000
W: 0.500 0.000 0.500

=====

Below is a geometry-optimized AsPbW2 structure, with properties calculated at the PBE level.

Output
For the energy above the lowest structure with this stoichiometry, the calculation gives 1.44 eV/f.u. The energy of formation is 0.694 eV per atom. The space-group type is P4/mmm (123). For the final energy, the calculation gives -7.872 eV/atom.

Cell lengths 3.238, 3.238, 6.966 Å; angles 90.00, 90.00, 90.00 degrees
Atoms (fractional coordinates):
W: 0.000 0.000 0.057
Pb: 0.500 0.500 0.750
W: 0.000 0.000 0.443
As: 0.500 0.500 0.250

=====

- Among the records above, which one has the lowest energy of formation?
  number 5

=====

- Which formula does entry 3 have?
  AsPbW2

=====

- What is the final energy in the fifth record?
  -8.232 eV/atom

=====

- The lowest energy of formation belongs to which entry?
  number 5